# 1
Compound: SrNiHgSb2
Source: Alexandria via LeMat-Bulk
Functional: PBE
Structure: relaxed

Cell lengths 5.598, 4.889, 5.598 Å; angles 90.00, 90.00, 90.00 degrees
Sites, in units of the cell vectors:
Sb1 0.000 0.000 0.500
Sb2 0.500 0.000 0.000
Ni1 0.000 0.500 0.000
Hg1 0.000 0.000 0.000
Sr1 0.500 0.500 0.500

SG = P4/mmm
M_tot = 0.39 μB per cell
uncorrected energy = -2.94 eV/atom
volume = 153 Å³ per cell

# 2
Compound: LaPm4Nd3
Source: Alexandria via LeMat-Bulk
Functional: PBE
Structure: relaxed

Cell lengths 7.346, 7.348, 10.412 Å; angles 90.00, 90.00, 90.00 degrees
Sites, in units of the cell vectors:
Pm1 0.000 0.811 0.000
Pm2 0.500 0.310 0.000
Pm3 0.751 0.061 0.750
Pm4 0.249 0.561 0.750
Pm5 0.500 0.810 0.500
Pm6 0.000 0.311 0.500
Pm7 0.249 0.561 0.250
Pm8 0.751 0.061 0.250
Nd1 0.000 0.311 0.000
Nd2 0.249 0.061 0.750
Nd3 0.751 0.561 0.750
Nd4 0.000 0.811 0.500
Nd5 0.751 0.561 0.250
Nd6 0.249 0.061 0.250
La1 0.500 0.811 0.000
La2 0.500 0.311 0.500

SG = Pmn2_1
ΔE_f = 0.0152 eV per atom
M_tot = 0.00 μB per cell
volume = 562 Å³ per cell
relative energy among the computed polymorphs = 0 meV per atom